Record 1
VASP calculation (PBE-GGA) on an optimized crystal structure of RbCdInAu.

ΔE_f in eV per atom: -0.21
DOS at the Fermi energy in states/eV per cell: 1.11
Electronic total energy in eV per cell: -8.723

Structure (POSCAR):
```
RbCdInAu
1.0
4.8752 0.0000 0.0000
2.4376 4.2220 0.0000
2.4376 1.4073 6.5605
In Cd Rb Au
1 1 1 1
Direct
0.0069 0.0069 0.9792
0.2832 0.2832 0.1503
0.8117 0.8117 0.5649
0.6240 0.6240 0.1281
```

=====

Record 2
VASP calculation (PBE-GGA) on an optimized crystal structure of LaNd5Ga4.

ΔE_f in eV per atom: -0.43
DOS at the Fermi energy in states/eV per cell: 9.07
Electronic total energy in eV per cell: -45.177

Structure (POSCAR):
```
LaNd5Ga4
1.0
3.6680 0.0000 0.0000
0.0000 3.6680 0.0000
0.0000 0.0000 20.4350
Ga Nd La
4 5 1
Direct
0.0000 0.0000 0.4080
0.0000 0.0000 0.7779
0.0000 0.0000 0.5920
0.0000 0.0000 0.2221
0.5000 0.5000 0.1339
0.5000 0.5000 0.5000
0.5000 0.5000 0.6836
0.5000 0.5000 0.3164
0.5000 0.5000 0.8661
0.0000 0.0000 0.0000
```

=====

Record 3
VASP calculation (PBE-GGA) on an optimized crystal structure of NaTmPb.

ΔE_f in eV per atom: -0.21
DOS at the Fermi energy in states/eV per cell: 4.07
Electronic total energy in eV per cell: -20.233

Structure (POSCAR):
```
NaTmPb
1.0
3.6713 0.0000 0.0000
0.0000 5.2140 0.0000
-1.8357 0.0000 8.7866
Pb Tm Na
2 2 2
Direct
0.8991 0.7500 0.7982
0.1009 0.2500 0.2018
0.5640 0.7500 0.1279
0.4360 0.2500 0.8721
0.2411 0.7500 0.4822
0.7589 0.2500 0.5178
```

=====

Record 4
VASP calculation (PBE-GGA) on an optimized crystal structure of PdSe2F.

Raw formation energy in eV per formula unit: -0.5
DOS at the Fermi energy in states/eV per cell: 10.59
Electronic total energy in eV per cell: -29.163

Structure (POSCAR):
```
PdSe2F
1.0
-3.9229 0.0404 4.1004
-2.5659 -4.4506 -2.4109
-0.0393 -5.7328 3.9459
Pd Se F
2 4 2
Direct
0.7500 0.2500 0.5000
0.0000 0.0000 0.0000
0.3750 0.3532 0.7500
0.6468 0.1250 0.2500
0.8750 0.8968 0.7500
0.1032 0.6250 0.2500
0.2500 0.7500 0.5000
0.5000 0.5000 0.0000
```

=====

Record 5
VASP calculation (PBE-GGA) on an optimized crystal structure of CoHN2.

DOS at the Fermi energy in states/eV per cell: 2.99
Electronic total energy in eV per cell: -46.758

Structure (POSCAR):
```
CoHN2
1.0
-0.8637 -0.9472 -3.7434
-3.2915 -1.8251 1.2212
-4.1651 2.1091 -1.6639
N H Co
4 2 2
Direct
0.1361 0.6250 0.2500
0.6139 0.1250 0.2500
0.3750 0.3861 0.7500
0.8750 0.8639 0.7500
0.2500 0.7500 0.5000
0.5000 0.5000 0.0000
0.0000 0.0000 0.0000
0.7500 0.2500 0.5000
```

=====

Record 6
VASP calculation (PBE-GGA) on an optimized crystal structure of Ca2SmDySe4.

Raw formation energy in eV per formula unit: -15.1
DOS at the Fermi energy in states/eV per cell: 3.39
Electronic total energy in eV per cell: -42.337

Structure (POSCAR):
```
Ca2SmDySe4
1.0
-1.3670 -1.3655 -3.6515
-2.2042 -6.0641 3.0929
-5.4059 4.8811 0.1984
Se Dy Ca Sm
4 1 2 1
Direct
0.0000 0.7546 0.2506
0.0000 0.2454 0.7494
0.5000 0.7549 0.7526
0.5000 0.2451 0.2474
0.0000 0.0000 0.0000
0.5000 0.0000 0.5000
0.0000 0.5000 0.5000
0.5000 0.5000 0.0000
```

=====

Record 7
VASP calculation (PBE-GGA) on an optimized crystal structure of Pm2Al9Pt6.

ΔE_f in eV per atom: -0.80
DOS at the Fermi energy in states/eV per cell: 12.78
Electronic total energy in eV per cell: -93.040

Structure (POSCAR):
```
Pm2Al9Pt6
1.0
-5.4490 0.8079 -0.0843
2.1158 -4.7132 -1.9132
-0.9137 -4.9866 11.2739
Pm Al Pt
2 9 6
Direct
0.0000 0.0000 0.3440
0.0000 0.0000 0.6560
0.5000 0.0000 0.8399
0.0000 0.5000 0.1601
0.5000 0.5000 0.5000
0.0000 0.5000 0.5000
0.5000 0.0000 0.5000
0.5000 0.0000 0.1601
0.5000 0.5000 0.8399
0.5000 0.5000 0.1601
0.0000 0.5000 0.8399
0.6667 0.3333 0.0000
0.6667 0.3333 0.3262
0.3333 0.6667 0.3262
0.3333 0.6667 0.0000
0.6667 0.3333 0.6738
0.3333 0.6667 0.6738
```

=====

Record 8
VASP calculation (PBE-GGA) on an optimized crystal structure of AcThCuPt.

ΔE_f in eV per atom: -0.48
DOS at the Fermi energy in states/eV per cell: 3.83
Electronic total energy in eV per cell: -23.600

Structure (POSCAR):
```
AcThCuPt
1.0
-1.2512 -2.3510 -4.4958
-1.9498 -4.8479 0.0411
-5.0168 -0.8087 -1.2176
Ac Cu Th Pt
1 1 1 1
Direct
0.5000 0.5000 0.5000
0.7500 0.7500 0.7500
0.0000 0.0000 0.0000
0.2500 0.2500 0.2500
```

=====

Record 9
VASP calculation (PBE-GGA) on an optimized crystal structure of HgTe2Au.

Raw formation energy in eV per formula unit: 0.9
DOS at the Fermi energy in states/eV per cell: 1.95
Electronic total energy in eV per cell: -8.986

Structure (POSCAR):
```
HgTe2Au
1.0
-2.8180 1.7878 -0.2228
-0.0419 -1.7932 2.8230
4.3318 7.4236 4.7799
Te Hg Au
2 1 1
Direct
0.5000 0.5000 0.2944
0.0000 0.0000 0.9765
0.5000 0.5000 0.7224
0.0000 0.0000 0.5067
```

=====

Record 10
VASP calculation (PBE-GGA) on an optimized crystal structure of Na4Bi5Pb.

ΔE_f in eV per atom: -0.23
DOS at the Fermi energy in states/eV per cell: 3.25
Electronic total energy in eV per cell: -30.666

Structure (POSCAR):
```
Na4Bi5Pb
1.0
3.4686 0.0000 0.0000
0.0000 3.4686 0.0000
0.0000 0.0000 24.6941
Na Bi Pb
4 5 1
Direct
0.0000 0.0000 0.2068
0.0000 0.0000 0.5984
0.0000 0.0000 0.7932
0.0000 0.0000 0.4016
0.5000 0.5000 0.1052
0.5000 0.5000 0.3028
0.5000 0.5000 0.8948
0.5000 0.5000 0.5000
0.5000 0.5000 0.6972
0.0000 0.0000 0.0000
```

=====

Record 11
VASP calculation (PBE-GGA) on an optimized crystal structure of Rb2HoErTe4.

Raw formation energy in eV per formula unit: -11.0
Electronic total energy in eV per cell: -34.623

Structure (POSCAR):
```
Rb2HoErTe4
1.0
-3.0006 -0.7251 3.2809
-2.6102 -6.3040 -3.7803
6.5679 -2.7415 5.4008
Te Rb Er Ho
4 2 1 1
Direct
0.0000 0.2665 0.8018
0.5000 0.7683 0.8022
0.0000 0.7335 0.1982
0.5000 0.2317 0.1978
0.5000 0.0000 0.5000
0.0000 0.5000 0.5000
0.0000 0.0000 0.0000
0.5000 0.5000 0.0000
```

=====

Record 12
VASP calculation (PBE-GGA) on an optimized crystal structure of YSiPt2.

Raw formation energy in eV per formula unit: -2.9
DOS at the Fermi energy in states/eV per cell: 1.98
Electronic total energy in eV per cell: -26.875

Structure (POSCAR):
```
YSiPt2
1.0
-3.9760 -1.7977 0.1191
0.9711 -1.3683 -4.0298
1.4751 -3.1630 1.4314
Si Pt Y
1 2 1
Direct
0.5000 0.0000 0.5000
0.0000 0.0000 0.0000
0.5000 0.5000 0.0000
0.0000 0.5000 0.5000
```

=====

no.,calculated density (kg/m³)
1,6267
2,6879
3,7881
4,5139
5,4561
6,5784
7,8705
8,11812
9,10446
10,7512
11,5603
12,11774